(1)
Compound: AlMoBr2
Source: the Alexandria database
Functional: PBEsol
Structure: optimized geometry

Computed properties:
Formation energy without anion corrections   24 meV per atom
Energy above the lowest structure with this stoichiometry   0 meV/atom

Unit cell a=3.133 b=3.133 c=8.087 alpha=90.00 beta=90.00 gamma=90.00
Space group P4mm (No. 99)
One atom of each set of equivalent atoms:
Al  0.000  0.000  0.000 [1 per cell]
Mo  0.500  0.500  0.788 [1 per cell]
Br  0.000  0.000  0.606 [1 per cell]
Br  0.500  0.500  0.218 [1 per cell]

---

(2)
Compound: Fe2RuPt
Source: the Alexandria database
Functional: PBEsol
Structure: optimized geometry

Computed properties:
Energy of formation   37 meV per atom

Unit cell a=2.642 b=2.642 c=7.197 alpha=90.00 beta=90.00 gamma=90.00
Space group P4mm (No. 99)
One atom of each set of equivalent atoms:
Fe  0.000  0.000  0.000 [1 per cell]
Fe  0.500  0.500  0.233 [1 per cell]
Ru  0.500  0.500  0.776 [1 per cell]
Pt  0.000  0.000  0.493 [1 per cell]

---

(3)
Compound: Sr
Source: the Alexandria database
Functional: PBEsol
Structure: optimized geometry

Computed properties:
Energy above the lowest structure with this stoichiometry   3 meV/atom
Energy of formation   3 meV per atom

Unit cell a=4.660 b=4.660 c=4.660 alpha=90.00 beta=90.00 gamma=90.00
Space group Im-3m (No. 229)
One atom of each set of equivalent atoms:
Sr  0.000  0.000  0.000 [2 per cell]

---

(4)
Compound: RbAl2InHg
Source: the Alexandria database
Functional: PBEsol
Structure: optimized geometry

Computed properties:
Energy of formation   439 meV per atom

Unit cell a=5.378 b=5.378 c=5.748 alpha=90.00 beta=90.00 gamma=90.00
Space group P4/mmm (No. 123)
One atom of each set of equivalent atoms:
Rb  0.000  0.000  0.000 [1 per cell]
Al  0.000  0.500  0.500 [2 per cell]
In  0.500  0.500  0.500 [1 per cell]
Hg  0.500  0.500  0.000 [1 per cell]

---

(5)
Compound: BaPt2Au
Source: the Alexandria database
Functional: PBEsol
Structure: optimized geometry

Computed properties:
Energy above the lowest structure with this stoichiometry   0 meV/atom
Energy of formation   -484 meV per atom

Unit cell a=7.991 b=4.615 c=6.031 alpha=90.00 beta=116.27 gamma=90.00
Space group C2/m (No. 12)
One atom of each set of equivalent atoms:
Ba  0.000  0.000  0.000 [2 per cell]
Pt  0.183  0.000  0.549 [4 per cell]
Au  0.000  0.500  0.500 [2 per cell]

---

(6)
Compound: TcSN2Cl
Source: the Alexandria database
Functional: PBEsol
Structure: optimized geometry

Computed properties:
Formation energy without anion corrections   2233 meV per atom

Unit cell a=3.632 b=3.632 c=4.365 alpha=90.00 beta=90.00 gamma=90.00
Space group P4/mmm (No. 123)
One atom of each set of equivalent atoms:
Tc  0.000  0.000  0.000 [1 per cell]
S  0.500  0.500  0.000 [1 per cell]
N  0.000  0.500  0.500 [2 per cell]
Cl  0.500  0.500  0.500 [1 per cell]

---

(7)
Compound: KRbNa2
Source: the Alexandria database
Functional: PBEsol
Structure: optimized geometry

Computed properties:
Energy of formation   28 meV per atom

Unit cell a=9.596 b=9.596 c=9.596 alpha=90.00 beta=90.00 gamma=90.00
Space group Fm-3m (No. 225)
One atom of each set of equivalent atoms:
K  0.000  0.000  0.000 [4 per cell]
Rb  0.000  0.000  0.500 [4 per cell]
Na  0.250  0.250  0.250 [8 per cell]

---

(8)
Compound: K4IrPt
Source: the Alexandria database
Functional: PBEsol
Structure: optimized geometry

Computed properties:
Energy of formation   1130 meV per atom

Unit cell a=8.393 b=8.393 c=8.393 alpha=90.00 beta=90.00 gamma=90.00
Space group F-43m (No. 216)
One atom of each set of equivalent atoms:
K  0.125  0.125  0.125 [16 per cell]
Ir  0.000  0.000  0.500 [4 per cell]
Pt  0.250  0.250  0.750 [4 per cell]

---

(9)
Compound: CoRh
Source: the Alexandria database
Functional: PBEsol
Structure: optimized geometry

Computed properties:
Energy of formation   71 meV per atom

Unit cell a=2.609 b=2.609 c=10.584 alpha=90.00 beta=90.00 gamma=90.00
Space group P4mm (No. 99)
One atom of each set of equivalent atoms:
Co  0.000  0.000  0.000 [1 per cell]
Co  0.000  0.000  0.336 [1 per cell]
Co  0.500  0.500  0.483 [1 per cell]
Rh  0.000  0.000  0.652 [1 per cell]
Rh  0.500  0.500  0.166 [1 per cell]
Rh  0.500  0.500  0.834 [1 per cell]

---

(10)
Compound: Sr2PdSe
Source: the Alexandria database
Functional: PBEsol
Structure: optimized geometry

Computed properties:
Formation energy without anion corrections   -885 meV per atom

Unit cell a=7.773 b=7.773 c=8.414 alpha=90.00 beta=90.00 gamma=90.00
Space group I-42d (No. 122)
One atom of each set of equivalent atoms:
Sr  0.247  0.250  0.125 [8 per cell]
Pd  0.000  0.000  0.000 [4 per cell]
Se  0.000  0.000  0.500 [4 per cell]

---

(11)
Compound: Zr2NiIr
Source: the Alexandria database
Functional: PBEsol
Structure: optimized geometry

Computed properties:
Energy of formation   -581 meV per atom

Unit cell a=3.196 b=3.196 c=6.522 alpha=90.00 beta=90.00 gamma=90.00
Space group P4/mmm (No. 123)
One atom of each set of equivalent atoms:
Zr  0.000  0.000  0.243 [2 per cell]
Ni  0.500  0.500  0.000 [1 per cell]
Ir  0.500  0.500  0.500 [1 per cell]

---

(12)
Compound: ZrCuCl
Source: the Alexandria database
Functional: PBEsol
Structure: optimized geometry

Computed properties:
Formation energy without anion corrections   -487 meV per atom

Unit cell a=3.1885 b=3.1885 c=6.5814 alpha=90.00 beta=90.00 gamma=120.00
Space group P3m1 (No. 156)
One atom of each set of equivalent atoms:
Zr  0.0000  0.0000  0.0000 [1 per cell]
Cu  0.6667  0.3333  0.3033 [1 per cell]
Cl  0.3333  0.6667  0.7216 [1 per cell]

---

(13)
Compound: Li2SbPt
Source: the Alexandria database
Functional: PBEsol
Structure: optimized geometry

Computed properties:
Formation energy without anion corrections   -578 meV per atom

Unit cell a=3.912 b=3.912 c=8.300 alpha=90.00 beta=90.00 gamma=90.00
Space group I4/mmm (No. 139)
One atom of each set of equivalent atoms:
Li  0.000  0.500  0.250 [4 per cell]
Sb  0.000  0.000  0.000 [2 per cell]
Pt  0.000  0.000  0.500 [2 per cell]